# Ba2YMn, relaxed, DFT PBE
data_Ba2YMn
_space_group_name_H-M_alt 'F m -3 m'
_space_group_IT_number 225
_space_group_name_Hall '-F 4 2 3'
_cell_length_a 8.020
_cell_length_b 8.020
_cell_length_c 8.020
_cell_angle_alpha 90.00
_cell_angle_beta 90.00
_cell_angle_gamma 90.00
loop_
_atom_site_label
_atom_site_type_symbol
_atom_site_fract_x
_atom_site_fract_y
_atom_site_fract_z
_atom_site_occupancy
Ba1 Ba 0.250 0.250 0.250 1
Y1 Y 0.000 0.000 0.000 1
Mn1 Mn 0.000 0.000 0.500 1
# Volume: 515.9 Å³/cell
# ΔE_f: 428 kJ/mol of formula units
# Crystal system: cubic